Record 1
ZrSc2SnH | PBE | relaxed

## Properties
For the electronic total energy, the calculation gives -6.22 eV/atom.

Lattice parameters (Å, degrees): 4.5052 4.5052 4.4068 90.00 90.00 90.00
Space group P4/mmm (No. 123)
One atom of each set of equivalent atoms:
Zr: 0.0000 0.0000 0.0000 [1 per cell]
Sc: 0.0000 0.5000 0.5000 [2 per cell]
Sn: 0.5000 0.5000 0.0000 [1 per cell]
H: 0.0000 0.0000 0.5000 [1 per cell]

---

Record 2
SrScH2 | PBE | relaxed

## Properties
The energy above the most stable polymorph in this dataset is 564.6 meV/atom. For the electronic total energy, the calculation gives -3.33 eV/atom.

Lattice parameters (Å, degrees): 6.4104 6.4104 6.4104 90.00 90.00 90.00
Space group Fm-3m (No. 225)
One atom of each set of equivalent atoms:
Sr: 0.0000 0.0000 0.0000 [4 per cell]
Sc: 0.0000 0.0000 0.5000 [4 per cell]
H: 0.2500 0.2500 0.2500 [8 per cell]

---

Record 3
Sr3ScH | PBE | relaxed

## Properties
For the electronic total energy, the calculation gives -2.87 eV/atom.

Lattice parameters (Å, degrees): 5.4974 5.4974 5.4974 90.00 90.00 90.00
Space group Pm-3m (No. 221)
One atom of each set of equivalent atoms:
Sr: 0.0000 0.0000 0.5000 [3 per cell]
Sc: 0.5000 0.5000 0.5000 [1 per cell]
H: 0.0000 0.0000 0.0000 [1 per cell]

---

Record 4
Sr2ScH | PBE | relaxed

## Properties
For the electronic total energy, the calculation gives -3.09 eV/atom.

Lattice parameters (Å, degrees): 7.5365 7.5365 8.9459 90.00 90.00 90.00
Space group I-42d (No. 122)
One atom of each set of equivalent atoms:
Sr: 0.1168 0.2500 0.1250 [8 per cell]
Sc: 0.0000 0.0000 0.5000 [4 per cell]
H: 0.0000 0.0000 0.0000 [4 per cell]

---

Record 5
SrScH | PBE | relaxed

## Properties
For the electronic total energy, the calculation gives -3.67 eV/atom.

Lattice parameters (Å, degrees): 3.5240 3.5240 12.3171 90.00 90.00 120.00
Space group P-6m2 (No. 187)
One atom of each set of equivalent atoms:
Sr: 0.0000 0.0000 0.1421 [2 per cell]
Sc: 0.3333 0.6667 0.3838 [2 per cell]
H: 0.0000 0.0000 0.5000 [1 per cell]
H: 0.3333 0.6667 0.0000 [1 per cell]

---

Record 6
SrScH2 | PBE | relaxed

## Properties
The energy above the most stable polymorph in this dataset is 0.0 meV/atom. For the electronic total energy, the calculation gives -3.89 eV/atom.

Lattice parameters (Å, degrees): 5.3660 5.3660 9.9319 90.00 90.00 90.00
Space group I-42d (No. 122)
One atom of each set of equivalent atoms:
Sr: 0.0000 0.0000 0.0000 [4 per cell]
Sc: 0.0000 0.0000 0.5000 [4 per cell]
H: 0.1688 0.2500 0.6250 [8 per cell]

---

Record 7
SrY2ScH | PBE | relaxed

## Properties
For the electronic total energy, the calculation gives -3.73 eV/atom.

Lattice parameters (Å, degrees): 5.5396 5.5396 6.3145 90.00 90.00 90.00
Space group P4/mmm (No. 123)
One atom of each set of equivalent atoms:
Sr: 0.0000 0.0000 0.0000 [1 per cell]
Y: 0.0000 0.5000 0.5000 [2 per cell]
Sc: 0.0000 0.0000 0.5000 [1 per cell]
H: 0.5000 0.5000 0.0000 [1 per cell]

---

Record 8
Sc2TaH2 | PBE | relaxed

## Properties
The energy above the most stable polymorph in this dataset is 20.1 meV/atom. For the electronic total energy, the calculation gives -6.08 eV/atom.

Lattice parameters (Å, degrees): 6.7560 6.7560 3.0902 90.00 90.00 90.00
Space group P4/mbm (No. 127)
One atom of each set of equivalent atoms:
Sc: 0.1814 0.3186 0.0000 [4 per cell]
Ta: 0.0000 0.0000 0.5000 [2 per cell]
H: 0.1583 0.6583 0.5000 [4 per cell]

---

Record 9
ScTaH2 | PBE | relaxed

## Properties
The energy above the most stable polymorph in this dataset is 0.0 meV/atom. For the electronic total energy, the calculation gives -6.48 eV/atom.

Lattice parameters (Å, degrees): 4.9452 4.9452 7.3917 90.00 90.00 90.00
Space group I-42d (No. 122)
One atom of each set of equivalent atoms:
Sc: 0.0000 0.0000 0.0000 [4 per cell]
Ta: 0.0000 0.0000 0.5000 [4 per cell]
H: 0.2307 0.2500 0.6250 [8 per cell]

---

Record 10
ScTaH2 | PBE | relaxed

## Properties
The energy above the most stable polymorph in this dataset is 752.2 meV/atom. For the electronic total energy, the calculation gives -5.73 eV/atom.

Lattice parameters (Å, degrees): 5.6273 5.6273 5.6273 90.00 90.00 90.00
Space group Fm-3m (No. 225)
One atom of each set of equivalent atoms:
Sc: 0.0000 0.0000 0.0000 [4 per cell]
Ta: 0.0000 0.0000 0.5000 [4 per cell]
H: 0.2500 0.2500 0.2500 [8 per cell]

---

Record 11
Sc2TaH2 | PBE | relaxed

## Properties
The energy above the most stable polymorph in this dataset is 0.0 meV/atom. For the electronic total energy, the calculation gives -6.10 eV/atom.

Lattice parameters (Å, degrees): 4.4291 4.4291 7.9080 90.00 90.00 90.00
Space group I4/mmm (No. 139)
One atom of each set of equivalent atoms:
Sc: 0.0000 0.5000 0.2500 [4 per cell]
Ta: 0.0000 0.0000 0.0000 [2 per cell]
H: 0.0000 0.0000 0.2432 [4 per cell]

---

Record 12
ScTaH2 | PBE | relaxed

## Properties
The energy above the most stable polymorph in this dataset is 83.2 meV/atom. For the electronic total energy, the calculation gives -6.40 eV/atom.

Lattice parameters (Å, degrees): 3.1124 3.1124 15.3728 90.00 90.00 120.00
Space group R-3m (No. 166, hexagonal axes)
One atom of each set of equivalent atoms:
Sc: 0.0000 0.0000 0.0000 [3 per cell]
Ta: 0.0000 0.0000 0.5000 [3 per cell]
H: 0.0000 0.0000 0.2351 [6 per cell]

---

Record 13
Sc3Ta5H12 | PBE | relaxed

## Properties
For the electronic total energy, the calculation gives -6.24 eV/atom.

Lattice parameters (Å, degrees): 11.3805 11.3805 11.3805 90.00 90.00 90.00
Space group Ia-3d (No. 230)
One atom of each set of equivalent atoms:
Sc: 0.0000 0.2500 0.1250 [24 per cell]
Ta: 0.0000 0.0000 0.0000 [16 per cell]
Ta: 0.0000 0.2500 0.3750 [24 per cell]
H: 0.0074 0.0693 0.6524 [96 per cell]

---

Record 14
Sc3TaH | PBE | relaxed

## Properties
The energy above the most stable polymorph in this dataset is 1257.3 meV/atom. For the electronic total energy, the calculation gives -5.61 eV/atom.

Lattice parameters (Å, degrees): 5.1745 5.1745 5.1745 90.00 90.00 90.00
Space group Pm-3m (No. 221)
One atom of each set of equivalent atoms:
Sc: 0.0000 0.0000 0.5000 [3 per cell]
Ta: 0.0000 0.0000 0.0000 [1 per cell]
H: 0.5000 0.5000 0.5000 [1 per cell]

---

Record 15
ScTa3H | PBE | relaxed

## Properties
For the electronic total energy, the calculation gives -8.89 eV/atom.

Lattice parameters (Å, degrees): 4.2966 4.2966 4.2966 90.00 90.00 90.00
Space group Pm-3m (No. 221)
One atom of each set of equivalent atoms:
Sc: 0.0000 0.0000 0.0000 [1 per cell]
Ta: 0.0000 0.5000 0.5000 [3 per cell]
H: 0.5000 0.5000 0.5000 [1 per cell]

---

Record 16
ScTa2H8 | PBE | relaxed

## Properties
For the electronic total energy, the calculation gives -5.31 eV/atom.

Lattice parameters (Å, degrees): 8.8422 5.7190 3.3719 90.00 105.27 90.00
Space group C2/m (No. 12)
One atom of each set of equivalent atoms:
Sc: 0.0000 0.0000 0.0000 [2 per cell]
Ta: 0.1654 0.5000 0.4082 [4 per cell]
H: 0.0530 0.5000 0.8126 [4 per cell]
H: 0.1358 0.1717 0.5024 [8 per cell]
H: 0.2307 0.0000 0.0364 [4 per cell]

---

Record 17
ScTaH4 | PBE | relaxed

## Properties
For the electronic total energy, the calculation gives -5.68 eV/atom.

Lattice parameters (Å, degrees): 3.3354 3.3354 4.3932 90.00 90.00 90.00
Space group P4/mmm (No. 123)
One atom of each set of equivalent atoms:
Sc: 0.0000 0.0000 0.0000 [1 per cell]
Ta: 0.5000 0.5000 0.5000 [1 per cell]
H: 0.0000 0.5000 0.2669 [4 per cell]

---

Record 18
Sc3TaH | PBE | relaxed

## Properties
The energy above the most stable polymorph in this dataset is 0.0 meV/atom. For the electronic total energy, the calculation gives -6.87 eV/atom.

Lattice parameters (Å, degrees): 4.4367 4.4367 4.4367 90.00 90.00 90.00
Space group Pm-3m (No. 221)
One atom of each set of equivalent atoms:
Sc: 0.0000 0.0000 0.5000 [3 per cell]
Ta: 0.5000 0.5000 0.5000 [1 per cell]
H: 0.0000 0.0000 0.0000 [1 per cell]

---

Record 19
ScTaTi2H | PBE | relaxed

## Properties
The energy above the most stable polymorph in this dataset is 0.0 meV/atom. For the electronic total energy, the calculation gives -7.46 eV/atom.

Lattice parameters (Å, degrees): 4.2084 4.2084 4.2920 90.00 90.00 90.00
Space group P4/mmm (No. 123)
One atom of each set of equivalent atoms:
Sc: 0.0000 0.0000 0.0000 [1 per cell]
Ta: 0.5000 0.5000 0.0000 [1 per cell]
Ti: 0.0000 0.5000 0.5000 [2 per cell]
H: 0.0000 0.0000 0.5000 [1 per cell]

---

Record 20
ScTaTi2H | PBE | relaxed

## Properties
The energy above the most stable polymorph in this dataset is 18.9 meV/atom. For the electronic total energy, the calculation gives -7.44 eV/atom.

Lattice parameters (Å, degrees): 4.3411 4.3411 4.0743 90.00 90.00 90.00
Space group P4/mmm (No. 123)
One atom of each set of equivalent atoms:
Sc: 0.0000 0.0000 0.0000 [1 per cell]
Ta: 0.5000 0.5000 0.0000 [1 per cell]
Ti: 0.0000 0.5000 0.5000 [2 per cell]
H: 0.5000 0.5000 0.5000 [1 per cell]